VASP calculation (PBE) on a relaxed BiTeC2 crystal.

```
BiTeC2
1.0
5.962 0.000 0.000
0.000 5.962 0.000
2.981 2.981 4.347
C Bi Te
4 2 2
direct
0.167 0.625 0.250
0.583 0.125 0.250
0.375 0.417 0.750
0.875 0.833 0.750
0.750 0.250 0.500
0.000 0.000 0.000
0.250 0.750 0.500
0.500 0.500 0.000
```

SG: I-42d
electronic total energy: -4.5858 eV per atom
uncorrected formation energy: 1782 meV per atom
DOS at the Fermi energy: 2.6 states/eV/f.u.